Below is SmHoEr2Sc2 after structural relaxation, with properties calculated at the PBE level.

```
12
Lattice="6.277 0.000 0.000 0.000 17.254 0.000 0.000 0.000 3.328" Properties=species:S:1:pos:R:3 pbc="T T T"
Sm 0.000 0.000 0.000
Sm 3.139 8.627 1.664
Ho 0.000 8.627 0.000
Ho 3.139 0.000 1.664
Er 1.421 5.348 0.000
Er 1.718 13.976 1.664
Er 4.560 3.279 1.664
Er 4.856 11.906 0.000
Sc 1.418 2.534 1.664
Sc 1.721 11.161 0.000
Sc 4.556 6.093 0.000
Sc 4.860 14.720 1.664
```

Results
As for the final energy: -58.76 eV/cell. The total magnetic moment comes out at 0.00 μB per formula unit. As for the formation energy: 0.284 eV per atom.